DFT (PBE-GGA) results for crystalline GaCu2HPd at its relaxed geometry.

Unit cell a=4.5429 b=4.5429 c=4.7187 alpha=90.00 beta=90.00 gamma=90.00
Space group P4/mmm (No. 123)
One atom of each set of equivalent atoms:
Ga1 0.0000 0.0000 0.0000 (multiplicity 1)
Cu1 0.0000 0.5000 0.0000 (multiplicity 2)
H1 0.5000 0.5000 0.5000 (multiplicity 1)
Pd1 0.0000 0.0000 0.5000 (multiplicity 1)

Calculated values
The density of states at the Fermi level is 3.16 states/eV/cell. Its uncorrected energy is -2.89 eV per atom. As for the energy above the lowest structure with this stoichiometry: 5.95 eV/f.u. The calculation puts the total moment at 0.517 μB per cell.

***

DFT (PBE-GGA) results for crystalline YCuIr2 at its relaxed geometry.

Unit cell a=3.0768 b=3.0768 c=25.0320 alpha=90.00 beta=90.00 gamma=120.00
Space group R-3m (No. 166, hexagonal axes)
One atom of each set of equivalent atoms:
Y1 0.0000 0.0000 0.0000 (multiplicity 3)
Cu1 0.0000 0.0000 0.5000 (multiplicity 3)
Ir1 0.0000 0.0000 0.2439 (multiplicity 6)

Calculated values
The calculation puts the formation enthalpy at 0 K at 0.1952 eV/atom. The density of states at the Fermi level is 10.91 states/eV/cell. Its uncorrected energy is -6.88 eV per atom. As for the energy above the lowest structure with this stoichiometry: 1.94 eV/f.u. The calculation puts the total moment at 0.000 μB per cell.